(1)
VASP calculation (PBEsol) on crystalline ZnCuW2 at its relaxed geometry.

a b c (Å): 5.2258 8.1881 2.6305
angles (deg): 90.00 92.62 90.00
Closest atoms and distances in Å follow each position.
Fractional positions:
Zn (0.0000, 0.0000, 0.0000)  2 Cu 2.61, 2 Zn 2.63, 8 W 2.73-2.79
Zn (0.5000, 0.5000, 0.0000)  2 Cu 2.61, 2 Zn 2.63, 8 W 2.73-2.79
Cu (0.0000, 0.5000, 0.0000)  2 Zn 2.61, 2 Cu 2.63, 8 W 2.73-2.79
Cu (0.5000, 0.0000, 0.0000)  2 Zn 2.61, 2 Cu 2.63, 8 W 2.73-2.79
W (0.2500, 0.2500, 0.5000)  4 W 2.61-2.63, 4 Cu 2.73-2.79, 4 Zn 2.73-2.79
W (0.2500, 0.7500, 0.5000)  4 W 2.61-2.63, 4 Cu 2.73-2.79, 4 Zn 2.73-2.79
W (0.7500, 0.2500, 0.5000)  4 W 2.61-2.63, 4 Cu 2.73-2.79, 4 Zn 2.73-2.79
W (0.7500, 0.7500, 0.5000)  4 W 2.61-2.63, 4 Cu 2.73-2.79, 4 Zn 2.73-2.79

(2)
VASP calculation (PBEsol) on crystalline ZnCuW2 at its relaxed geometry.

a b c (Å): 3.2098 3.2098 5.6063
angles (deg): 90.00 90.00 90.00
Closest atoms and distances in Å follow each position.
Fractional positions:
Zn (0.0000, 0.0000, 0.0000)  4 Cu 2.57, 6 W 2.76-2.85
Cu (0.5000, 0.5000, 0.2135)  4 Zn 2.57, 6 W 2.75-2.84
W (0.0000, 0.0000, 0.4916)  4 W 2.61, 4 Cu 2.75, 2 Zn 2.76-2.85
W (0.5000, 0.5000, 0.7199)  4 W 2.61, 4 Zn 2.76, 2 Cu 2.77-2.84

(3)
VASP calculation (PBEsol) on crystalline ZrCu2W at its relaxed geometry.

Summary:
Polymorph energy (0 for the lowest one)   0.119 eV/atom

a b c (Å): 3.7881 3.7881 8.3417
angles (deg): 90.00 90.00 90.00
Closest atoms and distances in Å follow each position.
Fractional positions:
Zr (0.0000, 0.0000, 0.0000)  8 Cu 2.68-2.82, 4 W 2.82
Zr (0.5000, 0.5000, 0.5000)  8 Cu 2.68-2.82, 4 W 2.82
Cu (0.0000, 0.0000, 0.5000)  4 Zr 2.68, 4 W 2.82, 4 Cu 2.82
Cu (0.0000, 0.5000, 0.2500)  4 W 2.68, 4 Zr 2.82, 4 Cu 2.82
Cu (0.5000, 0.0000, 0.7500)  4 W 2.68, 4 Zr 2.82, 4 Cu 2.82
Cu (0.5000, 0.5000, 0.0000)  4 Zr 2.68, 4 W 2.82, 4 Cu 2.82
W (0.0000, 0.5000, 0.7500)  8 Cu 2.68-2.82, 4 Zr 2.82
W (0.5000, 0.0000, 0.2500)  8 Cu 2.68-2.82, 4 Zr 2.82

(4)
VASP calculation (PBEsol) on crystalline ZrCu2W at its relaxed geometry.

Summary:
Polymorph energy (0 for the lowest one)   0.021 eV/atom

a b c (Å): 3.9421 3.9421 7.6340
angles (deg): 90.00 90.00 90.00
Closest atoms and distances in Å follow each position.
Fractional positions:
Zr (0.0000, 0.0000, 0.0000)  8 Cu 2.74, 4 W 2.79
Zr (0.5000, 0.5000, 0.5000)  8 Cu 2.74, 4 W 2.79
Cu (0.0000, 0.5000, 0.2500)  4 Zr 2.74, 4 W 2.74, 4 Cu 2.79
Cu (0.0000, 0.5000, 0.7500)  4 Zr 2.74, 4 W 2.74, 4 Cu 2.79
Cu (0.5000, 0.0000, 0.2500)  4 Zr 2.74, 4 W 2.74, 4 Cu 2.79
Cu (0.5000, 0.0000, 0.7500)  4 Zr 2.74, 4 W 2.74, 4 Cu 2.79
W (0.0000, 0.0000, 0.5000)  8 Cu 2.74, 4 Zr 2.79
W (0.5000, 0.5000, 0.0000)  8 Cu 2.74, 4 Zr 2.79

(5)
VASP calculation (PBEsol) on crystalline ZrCu2W at its relaxed geometry.

Summary:
Polymorph energy (0 for the lowest one)   0.062 eV/atom

a b c (Å): 3.2414 3.2414 5.7737
angles (deg): 90.00 90.00 90.00
Closest atoms and distances in Å follow each position.
Fractional positions:
Zr (0.0000, 0.0000, 0.0000)  6 Cu 2.77-2.99, 4 W 2.84
Cu (0.0000, 0.0000, 0.4813)  4 Cu 2.60, 4 W 2.64, 1 Zr 2.78
Cu (0.5000, 0.5000, 0.2683)  1 W 2.54, 4 Cu 2.60, 4 Zr 2.77
W (0.5000, 0.5000, 0.7090)  5 Cu 2.54-2.64, 4 Zr 2.84

(6)
VASP calculation (PBEsol) on crystalline ZrCu2W at its relaxed geometry.

Summary:
Polymorph energy (0 for the lowest one)   0.050 eV/atom

a b c (Å): 2.8327 4.6492 9.0605
angles (deg): 90.00 90.00 90.00
Closest atoms and distances in Å follow each position.
Fractional positions:
Zr (0.0000, 0.0000, 0.0000)  6 Cu 2.73-2.76, 2 Zr 2.83, 2 W 2.84
Zr (0.5000, 0.5000, 0.5000)  6 Cu 2.73-2.76, 2 Zr 2.83, 2 W 2.84
Cu (0.0000, 0.0000, 0.4774)  2 Cu 2.42, 2 W 2.68
Cu (0.0000, 0.5000, 0.7613)  2 Cu 2.42
Cu (0.5000, 0.0000, 0.2613)  2 Cu 2.42
Cu (0.5000, 0.5000, 0.9774)  2 Cu 2.42, 2 W 2.68
W (0.0000, 0.5000, 0.2280)  6 Cu 2.68-2.74, 2 W 2.83, 2 Zr 2.84
W (0.5000, 0.0000, 0.7280)  6 Cu 2.68-2.74, 2 W 2.83, 2 Zr 2.84

(7)
VASP calculation (PBEsol) on crystalline ZrCu2W at its relaxed geometry.

Summary:
Polymorph energy (0 for the lowest one)   0.000 eV/atom

a b c (Å): 2.7714 2.7714 7.6774
angles (deg): 90.00 90.00 90.00
Closest atoms and distances in Å follow each position.
Fractional positions:
Zr (0.0000, 0.0000, 0.0000)  4 Zr 2.77, 8 Cu 2.83
Cu (0.5000, 0.5000, 0.2664)  4 W 2.66, 4 Cu 2.77, 4 Zr 2.83
Cu (0.5000, 0.5000, 0.7336)  4 W 2.66, 4 Cu 2.77, 4 Zr 2.83
W (0.0000, 0.0000, 0.5000)  8 Cu 2.66, 4 W 2.77

(8)
VASP calculation (PBEsol) on crystalline Y2Cu at its relaxed geometry.

a b c (Å): 9.2904 9.2904 9.2904
angles (deg): 60.00 60.00 60.00
Closest atoms and distances in Å follow each position.
Fractional positions:
Y (0.0000, 0.0000, 0.0000)  6 Cu 2.95
Y (0.0000, 0.0000, 0.5000)  6 Cu 2.95
Y (0.0000, 0.5000, 0.0000)  6 Cu 2.95
Y (0.1884, 0.1884, 0.5616)  2 Cu 2.91
Y (0.1884, 0.5616, 0.1884)  2 Cu 2.91
Y (0.1884, 0.5616, 0.5616)  2 Cu 2.91
Y (0.4384, 0.4384, 0.8116)  2 Cu 2.91
Y (0.4384, 0.8116, 0.4384)  2 Cu 2.91
Y (0.4384, 0.8116, 0.8116)  2 Cu 2.91
Y (0.5000, 0.0000, 0.0000)  6 Cu 2.95
Y (0.5616, 0.1884, 0.1884)  2 Cu 2.91
Y (0.5616, 0.1884, 0.5616)  2 Cu 2.91
Y (0.5616, 0.5616, 0.1884)  2 Cu 2.91
Y (0.8116, 0.4384, 0.4384)  2 Cu 2.91
Y (0.8116, 0.4384, 0.8116)  2 Cu 2.91
Y (0.8116, 0.8116, 0.4384)  2 Cu 2.91
Cu (0.1606, 0.7798, 0.7798)  6 Y 2.91-2.95
Cu (0.2202, 0.2202, 0.2202)  6 Y 2.91-2.95
Cu (0.2202, 0.2202, 0.8394)  6 Y 2.91-2.95
Cu (0.2202, 0.8394, 0.2202)  6 Y 2.91-2.95
Cu (0.7798, 0.1606, 0.7798)  6 Y 2.91-2.95
Cu (0.7798, 0.7798, 0.1606)  6 Y 2.91-2.95
Cu (0.7798, 0.7798, 0.7798)  6 Y 2.91-2.95
Cu (0.8394, 0.2202, 0.2202)  6 Y 2.91-2.95

(9)
VASP calculation (PBEsol) on crystalline Y2Cu at its relaxed geometry.

a b c (Å): 3.6043 12.3847 6.5801
angles (deg): 90.00 90.00 90.00
Closest atoms and distances in Å follow each position.
Fractional positions:
Y (0.0000, 0.0260, 0.0000)  4 Cu 2.77-2.94
Y (0.0000, 0.2913, 0.1728)  3 Cu 2.88-2.89
Y (0.0000, 0.7087, 0.6728)  3 Cu 2.88-2.89
Y (0.0000, 0.9740, 0.5000)  4 Cu 2.77-2.94
Y (0.5000, 0.2087, 0.6728)  3 Cu 2.88-2.89
Y (0.5000, 0.4740, 0.5000)  4 Cu 2.77-2.94
Y (0.5000, 0.5260, 0.0000)  4 Cu 2.77-2.94
Y (0.5000, 0.7913, 0.1728)  3 Cu 2.88-2.89
Cu (0.0000, 0.3835, 0.7716)  7 Y 2.77-2.94
Cu (0.0000, 0.6165, 0.2716)  7 Y 2.77-2.94
Cu (0.5000, 0.1165, 0.2716)  7 Y 2.77-2.94
Cu (0.5000, 0.8835, 0.7716)  7 Y 2.77-2.94

(10)
VASP calculation (PBEsol) on crystalline Y2Cu at its relaxed geometry.

a b c (Å): 6.8697 6.8697 6.1154
angles (deg): 90.00 90.00 90.00
Closest atoms and distances in Å follow each position.
Fractional positions:
Y (0.1749, 0.3251, 0.0000)  4 Cu 2.96
Y (0.1749, 0.6749, 0.5000)  4 Cu 2.96
Y (0.3251, 0.1749, 0.5000)  4 Cu 2.96
Y (0.3251, 0.8251, 0.0000)  4 Cu 2.96
Y (0.6749, 0.1749, 0.0000)  4 Cu 2.96
Y (0.6749, 0.8251, 0.5000)  4 Cu 2.96
Y (0.8251, 0.3251, 0.5000)  4 Cu 2.96
Y (0.8251, 0.6749, 0.0000)  4 Cu 2.96
Cu (0.0000, 0.0000, 0.2500)  8 Y 2.96, 2 Cu 3.06
Cu (0.0000, 0.0000, 0.7500)  8 Y 2.96, 2 Cu 3.06
Cu (0.5000, 0.5000, 0.2500)  8 Y 2.96, 2 Cu 3.06
Cu (0.5000, 0.5000, 0.7500)  8 Y 2.96, 2 Cu 3.06

(11)
VASP calculation (PBEsol) on crystalline Y2Cu at its relaxed geometry.

a b c (Å): 7.2075 7.2075 4.7724
angles (deg): 90.00 90.00 120.00
Closest atoms and distances in Å follow each position.
Fractional positions:
Y (0.0000, 0.4028, 0.0000)  5 Cu 2.90-3.24
Y (0.0000, 0.7326, 0.5000)  2 Cu 2.67
Y (0.2674, 0.2674, 0.5000)  2 Cu 2.67
Y (0.4028, 0.0000, 0.0000)  5 Cu 2.90-3.24
Y (0.5972, 0.5972, 0.0000)  5 Cu 2.90-3.24
Y (0.7326, 0.0000, 0.5000)  2 Cu 2.67
Cu (0.0000, 0.0000, 0.0000)  9 Y 2.90-3.07
Cu (0.3333, 0.6667, 0.5000)  3 Y 2.67
Cu (0.6667, 0.3333, 0.5000)  3 Y 2.67

(12)
VASP calculation (PBEsol) on crystalline YCu13 at its relaxed geometry.

a b c (Å): 8.0000 8.0000 8.0000
angles (deg): 60.00 60.00 60.00
Closest atoms and distances in Å follow each position.
Fractional positions:
Y (0.2500, 0.2500, 0.2500)  24 Cu 3.30
Y (0.7500, 0.7500, 0.7500)  24 Cu 3.30
Cu (0.0000, 0.0000, 0.0000)  12 Cu 2.43
Cu (0.0621, 0.2980, 0.7020)  10 Cu 2.39-2.67
Cu (0.0621, 0.7020, 0.9379)  10 Cu 2.39-2.67
Cu (0.0621, 0.9379, 0.2980)  10 Cu 2.39-2.67
Cu (0.2020, 0.4379, 0.7980)  10 Cu 2.39-2.67
Cu (0.2020, 0.5621, 0.4379)  10 Cu 2.39-2.67
Cu (0.2020, 0.7980, 0.5621)  10 Cu 2.39-2.67
Cu (0.2980, 0.0621, 0.9379)  10 Cu 2.39-2.67
Cu (0.2980, 0.7020, 0.0621)  10 Cu 2.39-2.67
Cu (0.2980, 0.9379, 0.7020)  10 Cu 2.39-2.67
Cu (0.4379, 0.2020, 0.5621)  10 Cu 2.39-2.67
Cu (0.4379, 0.5621, 0.7980)  10 Cu 2.39-2.67
Cu (0.4379, 0.7980, 0.2020)  10 Cu 2.39-2.67
Cu (0.5000, 0.5000, 0.5000)  12 Cu 2.43
Cu (0.5621, 0.2020, 0.7980)  10 Cu 2.39-2.67
Cu (0.5621, 0.4379, 0.2020)  10 Cu 2.39-2.67
Cu (0.5621, 0.7980, 0.4379)  10 Cu 2.39-2.67
Cu (0.7020, 0.0621, 0.2980)  10 Cu 2.39-2.67
Cu (0.7020, 0.2980, 0.9379)  10 Cu 2.39-2.67
Cu (0.7020, 0.9379, 0.0621)  10 Cu 2.39-2.67
Cu (0.7980, 0.2020, 0.4379)  10 Cu 2.39-2.67
Cu (0.7980, 0.4379, 0.5621)  10 Cu 2.39-2.67
Cu (0.7980, 0.5621, 0.2020)  10 Cu 2.39-2.67
Cu (0.9379, 0.0621, 0.7020)  10 Cu 2.39-2.67
Cu (0.9379, 0.2980, 0.0621)  10 Cu 2.39-2.67
Cu (0.9379, 0.7020, 0.2980)  10 Cu 2.39-2.67

Number 1: energy -8.074 eV/atom, V 14.1 A^3/atom, ΔE_f 119 kJ/mol of formula units. Number 2: energy -8.041 eV/atom, V 14.4 A^3/atom, ΔE_f 132 kJ/mol of formula units. Number 3: energy -7.587 eV/atom, V 15.0 A^3/atom, ΔE_f 118 kJ/mol of formula units. Number 4: energy -7.684 eV/atom, V 14.8 A^3/atom, ΔE_f 80 kJ/mol of formula units. Number 5: energy -7.644 eV/atom, V 15.2 A^3/atom, ΔE_f 96 kJ/mol of formula units. Number 6: energy -7.655 eV/atom, V 14.9 A^3/atom, ΔE_f 91 kJ/mol of formula units. Number 7: energy -7.705 eV/atom, V 14.7 A^3/atom, ΔE_f 72 kJ/mol of formula units. Number 8: energy -6.094 eV/atom, V 23.6 A^3/atom, ΔE_f -29 kJ/mol of formula units. Number 9: energy -6.103 eV/atom, V 24.5 A^3/atom, ΔE_f -32 kJ/mol of formula units. Number 10: energy -6.078 eV/atom, V 24.1 A^3/atom, ΔE_f -25 kJ/mol of formula units. Number 11: energy -6.104 eV/atom, V 23.9 A^3/atom, ΔE_f -32 kJ/mol of formula units. Number 12: energy -4.551 eV/atom, V 12.9 A^3/atom, ΔE_f -52 kJ/mol of formula units.